## PaSiIrN (GGA-PBE)

Data for a relaxed structure of PaSiIrN.

Properties
Energy relative to the elements, uncorrected ... -1.260 eV/atom

The structure in CIF format:
```
data_PaSiIrN
_chemical_formula_sum 'Pa2 Si2 Ir2 N2'
_symmetry_space_group_name_H-M 'P 4/n m m'
_symmetry_Int_Tables_number 129
_cell_length_a 4.0242
_cell_length_b 4.0242
_cell_length_c 7.8747
_cell_angle_alpha 90.00
_cell_angle_beta 90.00
_cell_angle_gamma 90.00
loop_
_symmetry_equiv_pos_as_xyz
'x,y,z'
'-x,-y,-z'
'-y+1/2,x,z'
'y+1/2,-x,-z'
'-x+1/2,-y+1/2,z'
'x+1/2,y+1/2,-z'
'y,-x+1/2,z'
'-y,x+1/2,-z'
'x+1/2,-y,-z'
'-x+1/2,y,z'
'-y,-x,-z'
'y,x,z'
'-x,y+1/2,-z'
'x,-y+1/2,z'
'y+1/2,x+1/2,-z'
'-y+1/2,-x+1/2,z'
loop_
_atom_site_label
_atom_site_fract_x
_atom_site_fract_y
_atom_site_fract_z
Pa1 0.2500 0.2500 0.1429
Si1 0.2500 0.2500 0.6639
Ir1 0.2500 0.7500 0.5000
N1 0.2500 0.7500 0.0000
```